Crystalline KRu2Cl at its relaxed geometry, computed with PBE-GGA.

Output
volume: 19.72 Å³/atom
distance to the lowest polymorph of the same formula: 1540.8 meV per atom
DFT total energy: -59.278 eV per cell
magnetic moment: 1.109 μB per atom

Lattice parameters (Å, degrees): 6.808 6.808 6.808 90.00 90.00 90.00
Space group Fm-3m (No. 225)
Asymmetric unit:
K: 0.000 0.000 0.000 (multiplicity 4)
Ru: 0.250 0.250 0.250 (multiplicity 8)
Cl: 0.000 0.000 0.500 (multiplicity 4)